1.
The following is a GGA-PBE calculation of crystalline InSnAuS3 at its relaxed geometry, from OQMD via LeMat-Bulk.

polymorph energy (0 for the lowest one)	10.0	kJ per mole of atoms
mass density	6.2	g cm⁻³

Lattice parameters (Å, degrees): 3.7858 14.5428 10.3060 90.00 90.00 90.00
With the nearest neighbours (Å) after each atom.
Space group Cmcm (No. 63)
Unique sites:
In: 0.0000 0.1838 0.2500 (multiplicity 4)  4 S 2.72-2.99, 2 Au 2.87
Sn: 0.0000 0.5000 0.0000 (multiplicity 4)  6 S 2.64-2.67
Au: 0.0000 0.1677 0.7500 (multiplicity 4)  2 S 2.37
S: 0.0000 0.1251 0.5284 (multiplicity 8)  1 Au 2.37, 2 Sn 2.64
S: 0.0000 0.4508 0.7500 (multiplicity 4)  2 Sn 2.67, 2 In 2.72


2.
The following is a GGA-PBE calculation of crystalline Zr2ZnBi at its relaxed geometry, from OQMD via LeMat-Bulk.

total energy	-5.34	eV/atom
mass density	8.3	g cm⁻³

Lattice parameters (Å, degrees): 7.1398 7.1398 7.1398 90.00 90.00 90.00
With the nearest neighbours (Å) after each atom.
Space group F-43m (No. 216)
Unique sites:
Zr: 0.0000 0.0000 0.0000 (multiplicity 4)  4 Zn 3.09, 4 Zr 3.09
Zr: 0.2500 0.2500 0.2500 (multiplicity 4)  4 Zr 3.09, 4 Bi 3.09
Zn: 0.2500 0.2500 0.7500 (multiplicity 4)  4 Zr 3.09, 4 Bi 3.09
Bi: 0.0000 0.0000 0.5000 (multiplicity 4)  4 Zr 3.09, 4 Zn 3.09


3.
The following is a GGA-PBE calculation of crystalline RbGdCdSe3 at its relaxed geometry, from OQMD via LeMat-Bulk.

total energy	-4.18	eV/atom
mass density	5.3	g cm⁻³

Lattice parameters (Å, degrees): 11.2050 4.2968 15.4530 90.00 90.00 90.00
With the nearest neighbours (Å) after each atom.
Space group Pnma (No. 62)
Unique sites:
Rb: 0.2430 0.2500 0.0044 (multiplicity 4)  7 Se 3.50-3.72
Gd: 0.0068 0.7500 0.2517 (multiplicity 4)  6 Se 2.93-2.99
Cd: 0.2434 0.7500 0.7888 (multiplicity 4)  4 Se 2.62-2.70
Se: 0.0406 0.7500 0.8732 (multiplicity 4)  1 Cd 2.62
Se: 0.0559 0.2500 0.3758 (multiplicity 4)  1 Cd 2.62, 2 Gd 2.93
Se: 0.2436 0.2500 0.6831 (multiplicity 4)  2 Cd 2.70, 2 Gd 2.98-2.99


4.
The following is a GGA-PBE calculation of crystalline Sm3BiTe2 at its relaxed geometry, from OQMD via LeMat-Bulk.

total energy	-5.33	eV/atom
mass density	8.0	g cm⁻³

Lattice parameters (Å, degrees): 4.4782 4.4782 10.9552 90.00 90.00 120.00
With the nearest neighbours (Å) after each atom.
Space group P-3m1 (No. 164)
Unique sites:
Sm: 0.0000 0.0000 0.0000 (multiplicity 1)  6 Te 3.16
Sm: 0.3333 0.6667 0.6684 (multiplicity 2)  3 Te 3.16, 3 Bi 3.18
Bi: 0.0000 0.0000 0.5000 (multiplicity 1)  6 Sm 3.18
Te: 0.3333 0.6667 0.1651 (multiplicity 2)  6 Sm 3.16


5.
The following is a GGA-PBE calculation of crystalline PmSbN2O at its relaxed geometry, from OQMD via LeMat-Bulk.

total energy	-7.03	eV/atom
mass density	7.9	g cm⁻³

Lattice parameters (Å, degrees): 7.9930 8.1005 8.1094 90.05 90.01 91.01
With the nearest neighbours (Å) after each atom.
Space group P-1 (No. 2)
Unique sites:
Pm: 0.0152 0.4595 0.2515 (multiplicity 2)  4 N 2.39-2.63, 2 O 2.41-2.49
Pm: 0.0360 0.9837 0.2489 (multiplicity 2)  5 N 2.37-2.63, 1 O 2.60
Pm: 0.4751 0.5165 0.7482 (multiplicity 2)  3 O 2.39-2.66, 3 N 2.41-2.63
Pm: 0.4810 0.0279 0.7523 (multiplicity 2)  3 N 2.39-2.61, 2 O 2.40-2.43
Sb: 0.2434 0.2545 0.9875 (multiplicity 2)  4 N 2.04-2.08, 2 O 2.16-2.18
Sb: 0.2483 0.2397 0.5076 (multiplicity 2)  4 N 2.05-2.08, 2 O 2.16-2.19
Sb: 0.2477 0.7387 0.0090 (multiplicity 2)  4 N 2.05-2.09, 2 O 2.17-2.18
Sb: 0.2517 0.7554 0.4926 (multiplicity 2)  4 N 2.05-2.09, 2 O 2.16
N: 0.0017 0.7874 0.5594 (multiplicity 2)  2 Sb 2.08-2.09
N: 0.0028 0.7989 0.9445 (multiplicity 2)  2 Sb 2.08-2.09
N: 0.1874 0.7047 0.2525 (multiplicity 2)  2 Sb 2.05
N: 0.2086 0.4985 0.9380 (multiplicity 2)  2 Sb 2.04-2.05
N: 0.2152 0.1750 0.7494 (multiplicity 2)  2 Sb 2.05
N: 0.2989 0.0003 0.4445 (multiplicity 2)  2 Sb 2.05
N: 0.4987 0.2833 0.9484 (multiplicity 2)  2 Sb 2.07
N: 0.4987 0.3036 0.5426 (multiplicity 2)  2 Sb 2.08
O: 0.2083 0.4988 0.5533 (multiplicity 2)  2 Sb 2.16, 1 Pm 2.41
O: 0.2827 0.3072 0.2486 (multiplicity 2)  2 Sb 2.18-2.19, 1 Pm 2.39
O: 0.2923 0.0006 0.0514 (multiplicity 2)  2 Sb 2.16-2.17
O: 0.3134 0.7795 0.7516 (multiplicity 2)  2 Sb 2.16-2.18, 1 Pm 2.40


6.
The following is a GGA-PBE calculation of crystalline Os3S5O at its relaxed geometry, from OQMD via LeMat-Bulk.

total energy	-5.82	eV/atom
mass density	9.0	g cm⁻³

Lattice parameters (Å, degrees): 7.4010 7.4010 2.8916 90.00 90.00 120.00
With the nearest neighbours (Å) after each atom.
Space group P-62m (No. 189)
Unique sites:
Os: 0.0000 0.4775 0.0000 (multiplicity 3)  6 S 2.31-2.59
S: 0.0000 0.2340 0.5000 (multiplicity 3)  2 O 2.26, 2 Os 2.31
S: 0.3333 0.6667 0.5000 (multiplicity 2)  6 Os 2.59, 2 S 2.89
O: 0.0000 0.0000 0.0000 (multiplicity 1)  6 S 2.26


Question: What is the formula in the fifth record?
Answer: PmSbN2O